(1)
Here is a geometry-optimized SrTaCo2 structure from the Alexandria database. Energies are from GGA-PBE.

Results
Total magnetic moment: 0.0123 μB/atom
Volume: 17.26 A^3/atom
Relative energy among the computed polymorphs: 738 meV per atom
Total DFT energy (no corrections): -6.0541 eV per atom
Calculated formation energy: 3.5 eV per formula unit

Unit cell a=3.7739 b=3.7739 c=9.6970 alpha=90.00 beta=90.00 gamma=90.00
Last column: nearest neighbours and their distance in Å.
Space group I-4m2 (No. 119)
Inequivalent atoms, fractional coordinates:
Sr1 0.0000 0.0000 0.0000 (multiplicity 2)  4 Co 2.67
Ta1 0.0000 0.5000 0.7500 (multiplicity 2)  4 Co 2.67
Co1 0.0000 0.0000 0.5000 (multiplicity 2)  4 Sr 2.67
Co2 0.0000 0.5000 0.2500 (multiplicity 2)  4 Ta 2.67



(2)
Here is a geometry-optimized Sr2TaCo structure from the Alexandria database. Energies are from GGA-PBE.

Results
Total magnetic moment: 0.3762 μB/atom
Volume: 25.06 A^3/atom
Relative energy among the computed polymorphs: 813 meV per atom
Total DFT energy (no corrections): -4.4308 eV per atom
Calculated formation energy: 4.6 eV per formula unit

Unit cell a=6.3590 b=10.0454 c=3.1381 alpha=90.00 beta=90.00 gamma=90.00
Last column: nearest neighbours and their distance in Å.
Space group Cmmm (No. 65)
Inequivalent atoms, fractional coordinates:
Sr1 0.2500 0.2500 0.0000 (multiplicity 4)  4 Sr 3.14-3.18, 4 Ta 3.36, 4 Co 3.36
Ta1 0.0000 0.0000 0.5000 (multiplicity 2)  2 Ta 3.14, 2 Co 3.18, 8 Sr 3.36
Co1 0.0000 0.5000 0.5000 (multiplicity 2)  2 Co 3.14, 2 Ta 3.18, 8 Sr 3.36



(3)
Here is a geometry-optimized Sr2TaCo structure from the Alexandria database. Energies are from GGA-PBE.

Results
Total magnetic moment: 0.6453 μB/atom
Volume: 26.78 A^3/atom
Relative energy among the computed polymorphs: 869 meV per atom
Total DFT energy (no corrections): -4.3749 eV per atom
Calculated formation energy: 4.8 eV per formula unit

Unit cell a=5.8038 b=5.8038 c=3.1796 alpha=90.00 beta=90.00 gamma=90.00
Last column: nearest neighbours and their distance in Å.
Space group P4/mmm (No. 123)
Inequivalent atoms, fractional coordinates:
Sr1 0.0000 0.5000 0.0000 (multiplicity 2)  2 Sr 3.18, 4 Ta 3.31, 4 Co 3.31
Ta1 0.0000 0.0000 0.5000 (multiplicity 1)  2 Ta 3.18, 8 Sr 3.31
Co1 0.5000 0.5000 0.5000 (multiplicity 1)  2 Co 3.18, 8 Sr 3.31



(4)
Here is a geometry-optimized Sr2TaCo structure from the Alexandria database. Energies are from GGA-PBE.

Results
Total magnetic moment: 0.0122 μB/atom
Volume: 23.52 A^3/atom
Relative energy among the computed polymorphs: 846 meV per atom
Total DFT energy (no corrections): -4.3986 eV per atom
Calculated formation energy: 4.7 eV per formula unit

Unit cell a=4.2318 b=4.2318 c=5.2535 alpha=90.00 beta=90.00 gamma=90.00
Last column: nearest neighbours and their distance in Å.
Space group P4/mmm (No. 123)
Inequivalent atoms, fractional coordinates:
Sr1 0.0000 0.5000 0.0000 (multiplicity 2)  4 Sr 2.99
Ta1 0.0000 0.0000 0.5000 (multiplicity 1)  4 Co 2.99
Co1 0.5000 0.5000 0.5000 (multiplicity 1)  4 Ta 2.99



Q: Which of these has the lowest total magnetic moment?
A: number 4



Q: The lowest calculated formation energy belongs to which entry?
A: SrTaCo2



What did the fourth record say?
Here is a geometry-optimized Sr2TaCo structure from the Alexandria database. Energies are from GGA-PBE.

Results
Total magnetic moment: 0.0122 μB/atom
Volume: 23.52 A^3/atom
Relative energy among the computed polymorphs: 846 meV per atom
Total DFT energy (no corrections): -4.3986 eV per atom
Calculated formation energy: 4.7 eV per formula unit

Unit cell a=4.2318 b=4.2318 c=5.2535 alpha=90.00 beta=90.00 gamma=90.00
Last column: nearest neighbours and their distance in Å.
Space group P4/mmm (No. 123)
Inequivalent atoms, fractional coordinates:
Sr1 0.0000 0.5000 0.0000 (multiplicity 2)  4 Sr 2.99
Ta1 0.0000 0.0000 0.5000 (multiplicity 1)  4 Co 2.99
Co1 0.5000 0.5000 0.5000 (multiplicity 1)  4 Ta 2.99



Q: total magnetic moment of number 3 (Sr2TaCo)?
A: 0.6453 μB/atom